Entry from the Alexandria database: a geometry-optimized SrScAu3 structure (PBE).

Unit cell a=5.4870 b=5.4870 c=5.4870 alpha=90.00 beta=90.00 gamma=90.00
Last column: nearest neighbours and their distance in Å.
Fractional positions:
Sr 0.0000 0.0000 0.0000  6 Au 2.74
Sc 0.5000 0.5000 0.5000  12 Au 3.88
Au 0.0000 0.0000 0.5000  2 Sr 2.74
Au 0.0000 0.5000 0.0000  2 Sr 2.74
Au 0.5000 0.0000 0.0000  2 Sr 2.74

Results
- Density: 7.27 g cm⁻³
- ΔH_f (0 K): 0.520 eV per atom
- Symmetry: Pm-3m (221)
- M_tot: 1.1 μB/f.u.

=====

Entry from the Alexandria database: a geometry-optimized TaNb2W5 structure (PBE).

Unit cell a=7.2034 b=7.2034 c=7.2034 alpha=143.02 beta=143.02 gamma=53.29
Last column: nearest neighbours and their distance in Å.
Fractional positions:
Ta 0.0000 0.0000 0.0000  8 W 2.79
Nb 0.2495 0.2495 0.0000  8 W 2.80-2.81
Nb 0.7505 0.7505 0.0000  8 W 2.80-2.81
W 0.1237 0.6237 0.5000  2 Ta 2.79, 2 W 2.79, 4 Nb 2.80-2.81
W 0.3763 0.8763 0.5000  2 W 2.79, 2 Ta 2.79, 4 Nb 2.80-2.81
W 0.5000 0.5000 0.0000  8 W 2.79
W 0.6237 0.1237 0.5000  2 Ta 2.79, 2 W 2.79, 4 Nb 2.80-2.81
W 0.8763 0.3763 0.5000  2 W 2.79, 2 Ta 2.79, 4 Nb 2.80-2.81

Results
- Density: 15.89 g cm⁻³
- ΔH_f (0 K): -0.078 eV per atom
- Symmetry: I4/mmm (139)
- M_tot: 0.0 μB/f.u.

=====

Entry from the Alexandria database: a geometry-optimized SrAs2P structure (PBE).

Unit cell a=5.2671 b=5.2671 c=5.1348 alpha=106.51 beta=106.51 gamma=45.78
Last column: nearest neighbours and their distance in Å.
Fractional positions:
Sr 0.0000 0.0000 0.0000  4 P 3.21-3.53, 8 As 3.25-3.49
As 0.5250 0.5250 0.5143  1 As 2.58, 2 P 2.67
As 0.7634 0.7634 0.3923  2 P 2.50, 1 As 2.58
P 0.2110 0.2110 0.6255  4 As 2.50-2.67

Results
- Density: 4.59 g cm⁻³
- ΔH_f (0 K): -0.379 eV per atom
- Symmetry: Cm (8)
- M_tot: 0.0 μB/f.u.